# 1
This record from Alexandria describes a relaxed Rb5Ca crystal. The functional is PBE.

a b c (Å): 11.9780 11.9780 5.5109
angles (deg): 90.00 90.00 143.19
Closest atoms and distances in Å follow each position.
Positions (direct):
Rb 0.0000 0.0000 0.0000  4 Rb 4.62, 4 Ca 4.68
Rb 0.1632 0.8368 0.5000  8 Rb 4.62-4.95
Rb 0.3439 0.6561 0.0000  2 Ca 4.49, 6 Rb 4.68-4.95
Rb 0.6561 0.3439 0.0000  2 Ca 4.49, 6 Rb 4.68-4.95
Rb 0.8368 0.1632 0.5000  8 Rb 4.62-4.95
Ca 0.5000 0.5000 0.5000  8 Rb 4.49-4.68

Magnetization (μB/atom): 0.00
Mass density (g/cm³): 1.64
Energy of formation (eV per atom): 0.125


# 2
This record from Alexandria describes a relaxed GaSbWI2 crystal. The functional is PBE.

a b c (Å): 5.4518 5.4518 5.5100
angles (deg): 90.00 90.00 90.00
Closest atoms and distances in Å follow each position.
Positions (direct):
Ga 0.0000 0.0000 0.0000  4 I 2.73, 2 Sb 2.75
Sb 0.0000 0.0000 0.5000  2 Ga 2.75
W 0.5000 0.5000 0.5000  4 Sb 3.86, 8 I 3.88
I 0.0000 0.5000 0.0000  2 Ga 2.73
I 0.5000 0.0000 0.0000  2 Ga 2.73

Formation energy (no corrections) (eV per atom): 1.41
Magnetization (μB/atom): 0.72
Relative energy among the computed polymorphs (eV per formula unit): 3.84
Mass density (g/cm³): 6.38


# 3
This record from Alexandria describes a relaxed MgTl2TcC crystal. The functional is PBE.

a b c (Å): 5.4723 5.4723 3.9557
angles (deg): 90.00 90.00 90.00
Closest atoms and distances in Å follow each position.
Positions (direct):
Mg 0.0000 0.0000 0.0000  2 C 1.98
Tl 0.0000 0.5000 0.0000  2 Mg 2.74
Tl 0.5000 0.0000 0.0000  2 Mg 2.74
Tc 0.5000 0.5000 0.5000  8 Tl 3.38
C 0.0000 0.0000 0.5000  2 Mg 1.98

Magnetization (μB/atom): 0.72
Mass density (g/cm³): 7.61
Energy of formation (eV per atom): 1.712